# Mn2BiO PBE with a Hubbard U relaxed
data_Mn2BiO
_chemical_formula_sum 'Mn8 Bi4 O4'
_cell_length_a 6.718
_cell_length_b 6.718
_cell_length_c 6.718
_cell_angle_alpha 90.00
_cell_angle_beta 90.00
_cell_angle_gamma 90.00
_symmetry_space_group_name_H-M 'F m -3 m'
_symmetry_Int_Tables_number 225
_symmetry_space_group_name_Hall '-F 4 2 3'
loop_
_atom_site_label
_atom_site_type_symbol
_atom_site_fract_x
_atom_site_fract_y
_atom_site_fract_z
Mn1 Mn 0.250 0.250 0.250
Bi1 Bi 0.000 0.000 0.000
O1 O 0.000 0.000 0.500
# - E_tot: -5.66 eV/atom
# - Energy above the most stable polymorph in this dataset: 856 meV/atom
# - Total magnetic moment: 36.0 Bohr magnetons per cell